# 1
LaPr4Hg5: relaxed, PBE-GGA.

Calculated values
total moment: 2.3 μB per cell
formation energy from the elements: -0.478 eV/atom

```
LaPr4Hg5
1.0
3.8801 0.0000 0.0000
0.0000 3.8801 0.0000
0.0000 0.0000 19.3317
Hg La Pr
5 1 4
direct
0.5000 0.5000 0.6989
0.5000 0.5000 0.5000
0.5000 0.5000 0.3011
0.5000 0.5000 0.8972
0.5000 0.5000 0.1028
0.0000 0.0000 0.0000
0.0000 0.0000 0.2019
0.0000 0.0000 0.4007
0.0000 0.0000 0.5993
0.0000 0.0000 0.7981
```

# 2
BRh3Pb: relaxed, PBE-GGA.

Calculated values
total moment: 0.0 μB per cell
formation energy from the elements: 0.259 eV/atom

```
BRh3Pb
1.0
4.0520 0.0000 3.7519
-2.0260 3.5091 3.7519
-2.0260 -3.5091 3.7519
Rh B Pb
6 2 2
direct
0.7500 0.0307 0.4693
0.2500 0.9693 0.5307
0.9693 0.5307 0.2500
0.4693 0.7500 0.0307
0.0307 0.4693 0.7500
0.5307 0.2500 0.9693
0.7500 0.7500 0.7500
0.2500 0.2500 0.2500
0.0000 0.0000 0.0000
0.5000 0.5000 0.5000
```

# 3
Ag2OsSe: relaxed, PBE-GGA.

Calculated values
total DFT energy (no corrections): -19.1 eV for the cell shown
total moment: 0.0 μB per cell

```
Ag2OsSe
1.0
9.4847 -0.0255 -0.0149
9.0025 2.9857 -0.0149
9.0025 1.4415 2.6147
Ag Se Os
2 1 1
direct
0.9931 0.9931 0.9931
0.2435 0.2435 0.2435
0.7686 0.7686 0.7686
0.4947 0.4947 0.4947
```

> Number 3 is which compound?

Ag2OsSe

> Which value of total moment does entry 1 give?

2.3 μB per cell

> What is the formula in the third record?

Ag2OsSe